i) Entry from Alexandria: an optimized crystal structure of KVSe2Br (PBE-GGA).

Output
D(E_F) in states/eV per cell: 8.736
Density in g/cm³: 2.9
M_tot in μB per formula unit: 0.984

Cell lengths 5.7500, 5.7500, 5.6749 Å; angles 90.00, 90.00, 90.00 degrees
Closest atoms and distances in Å follow each position.
Space group P4/mmm (No. 123)
One atom of each set of equivalent atoms:
K 0.0000 0.0000 0.0000 (multiplicity 1)  2 Br 2.84, 4 Se 2.88
V 0.5000 0.5000 0.5000 (multiplicity 1)  8 Se 4.04, 4 Br 4.07
Se 0.0000 0.5000 0.0000 (multiplicity 2)  2 K 2.88
Br 0.0000 0.0000 0.5000 (multiplicity 1)  2 K 2.84

***

ii) Entry from Alexandria: an optimized crystal structure of KVSe2Br (PBE-GGA).

Output
D(E_F) in states/eV per cell: 1.994
Density in g/cm³: 4.1
M_tot in μB per formula unit: 1.232

Cell lengths 4.8548, 4.8548, 5.6375 Å; angles 90.00, 90.00, 90.00 degrees
Closest atoms and distances in Å follow each position.
Space group P4/mmm (No. 123)
One atom of each set of equivalent atoms:
K 0.0000 0.0000 0.0000 (multiplicity 1)  4 Br 3.43, 8 Se 3.72
V 0.5000 0.5000 0.5000 (multiplicity 1)  4 Se 2.43
Se 0.0000 0.5000 0.5000 (multiplicity 2)  2 V 2.43
Br 0.5000 0.5000 0.0000 (multiplicity 1)  2 V 2.82

***

So which one is most stable? That would be ii), about 1672 meV/atom below the next structure.

***

i) Entry from Alexandria: an optimized crystal structure of KYSeBr2 (PBE-GGA).

Output
D(E_F) in states/eV per cell: 0.879
Density in g/cm³: 3.5
M_tot in μB per formula unit: 0.002

Cell lengths 5.4398, 5.4398, 5.8914 Å; angles 90.00, 90.00, 90.00 degrees
Closest atoms and distances in Å follow each position.
Space group P4/mmm (No. 123)
One atom of each set of equivalent atoms:
K 0.0000 0.0000 0.0000 (multiplicity 1)  4 Br 2.72, 2 Se 2.95
Y 0.5000 0.5000 0.5000 (multiplicity 1)  4 Se 3.85, 8 Br 4.01
Se 0.0000 0.0000 0.5000 (multiplicity 1)  2 K 2.95
Br 0.0000 0.5000 0.0000 (multiplicity 2)  2 K 2.72

***

ii) Entry from Alexandria: an optimized crystal structure of KYSeBr2 (PBE-GGA).

Output
D(E_F) in states/eV per cell: 0.000
Density in g/cm³: 3.4
M_tot in μB per formula unit: 0.000

Cell lengths 5.6856, 5.6856, 5.4787 Å; angles 90.00, 90.00, 90.00 degrees
Closest atoms and distances in Å follow each position.
Space group P4/mmm (No. 123)
One atom of each set of equivalent atoms:
K 0.0000 0.0000 0.0000 (multiplicity 1)  8 Br 3.95, 4 Se 4.02
Y 0.5000 0.5000 0.5000 (multiplicity 1)  2 Se 2.74, 4 Br 2.84
Se 0.5000 0.5000 0.0000 (multiplicity 1)  2 Y 2.74
Br 0.0000 0.5000 0.5000 (multiplicity 2)  2 Y 2.84

***

So which one is most stable? That would be ii), about 1283 meV/atom below the next structure.

***

i) Entry from Alexandria: an optimized crystal structure of KZnSeBr2 (PBE-GGA).

Output
D(E_F) in states/eV per cell: 7.084
Density in g/cm³: 2.3
M_tot in μB per formula unit: 3.068

Cell lengths 6.2132, 6.2132, 6.3570 Å; angles 90.00, 90.00, 90.00 degrees
Closest atoms and distances in Å follow each position.
Space group P4/mmm (No. 123)
One atom of each set of equivalent atoms:
K 0.0000 0.0000 0.0000 (multiplicity 1)  4 Br 3.11, 2 Se 3.18
Zn 0.5000 0.5000 0.5000 (multiplicity 1)  4 Se 4.39, 8 Br 4.44
Se 0.0000 0.0000 0.5000 (multiplicity 1)  2 K 3.18
Br 0.0000 0.5000 0.0000 (multiplicity 2)  2 K 3.11

***

ii) Entry from Alexandria: an optimized crystal structure of KZnSeBr2 (PBE-GGA).

Output
D(E_F) in states/eV per cell: 3.377
Density in g/cm³: 3.8
M_tot in μB per formula unit: 0.992

Cell lengths 5.4940, 5.4940, 4.9217 Å; angles 90.00, 90.00, 90.00 degrees
Closest atoms and distances in Å follow each position.
Space group P4/mmm (No. 123)
One atom of each set of equivalent atoms:
K 0.0000 0.0000 0.0000 (multiplicity 1)  8 Br 3.69, 4 Se 3.88
Zn 0.5000 0.5000 0.5000 (multiplicity 1)  2 Se 2.46, 4 Br 2.75
Se 0.5000 0.5000 0.0000 (multiplicity 1)  2 Zn 2.46
Br 0.0000 0.5000 0.5000 (multiplicity 2)  2 Zn 2.75

***

So which one is most stable? That would be ii), about 939 meV/atom below the next structure.

***

i) Entry from Alexandria: an optimized crystal structure of KZrSe2Br (PBE-GGA).

Output
D(E_F) in states/eV per cell: 1.425
Density in g/cm³: 4.0
M_tot in μB per formula unit: 0.000

Cell lengths 5.2623, 5.2623, 5.5170 Å; angles 90.00, 90.00, 90.00 degrees
Closest atoms and distances in Å follow each position.
Space group P4/mmm (No. 123)
One atom of each set of equivalent atoms:
K 0.0000 0.0000 0.0000 (multiplicity 1)  4 Br 3.72, 8 Se 3.81
Zr 0.5000 0.5000 0.5000 (multiplicity 1)  4 Se 2.63, 2 Br 2.76
Se 0.0000 0.5000 0.5000 (multiplicity 2)  2 Zr 2.63
Br 0.5000 0.5000 0.0000 (multiplicity 1)  2 Zr 2.76

***

ii) Entry from Alexandria: an optimized crystal structure of KZrSe2Br (PBE-GGA).

Output
D(E_F) in states/eV per cell: 8.916
Density in g/cm³: 3.8
M_tot in μB per formula unit: 0.000

Cell lengths 5.4702, 5.4702, 5.3486 Å; angles 90.00, 90.00, 90.00 degrees
Closest atoms and distances in Å follow each position.
Space group P4/mmm (No. 123)
One atom of each set of equivalent atoms:
K 0.0000 0.0000 0.0000 (multiplicity 1)  2 Br 2.67, 4 Se 2.74
Zr 0.5000 0.5000 0.5000 (multiplicity 1)  8 Se 3.83, 4 Br 3.87
Se 0.0000 0.5000 0.0000 (multiplicity 2)  2 K 2.74
Br 0.0000 0.0000 0.5000 (multiplicity 1)  2 K 2.67

***

So which one is most stable? That would be i), about 1927 meV/atom below the next structure.

***

i) Entry from Alexandria: an optimized crystal structure of KSiBr (PBE-GGA).

Output
D(E_F) in states/eV per cell: 2.545
Density in g/cm³: 2.8
M_tot in μB per formula unit: 0.001

Cell lengths 5.2736, 5.2736, 3.5895 Å; angles 90.00, 90.00, 120.00 degrees
Closest atoms and distances in Å follow each position.
Space group P3m1 (No. 156)
One atom of each set of equivalent atoms:
K 0.0000 0.0000 0.0000 (multiplicity 1)  6 Si 3.53-3.54, 6 Br 3.53-3.54, 2 K 3.59
Si 0.6667 0.3333 0.5013 (multiplicity 1)  3 Br 3.04
Br 0.3333 0.6667 0.4993 (multiplicity 1)  3 Si 3.04

***

ii) Entry from Alexandria: an optimized crystal structure of KSiBr (PBE-GGA).

Output
Density in g/cm³: 2.7
M_tot in μB per formula unit: 0.000

Cell lengths 3.9472, 3.9472, 11.7873 Å; angles 90.00, 90.00, 90.00 degrees
Closest atoms and distances in Å follow each position.
Space group I4mm (No. 107)
One atom of each set of equivalent atoms:
K 0.0000 0.0000 0.0000 (multiplicity 2)  1 Br 3.29, 1 Si 3.34
Si 0.0000 0.0000 0.7167 (multiplicity 2)  4 Br 2.89
Br 0.0000 0.0000 0.2791 (multiplicity 2)  4 Si 2.89

***

iii) Entry from Alexandria: an optimized crystal structure of KSiBr (PBE-GGA).

Output
D(E_F) in states/eV per cell: 3.174
Density in g/cm³: 2.5
M_tot in μB per formula unit: 0.001

Cell lengths 3.4535, 5.5147, 10.2286 Å; angles 90.00, 90.00, 90.00 degrees
Closest atoms and distances in Å follow each position.
Space group Imm2 (No. 44)
One atom of each set of equivalent atoms:
K 0.0000 0.0000 0.0000 (multiplicity 2)  4 Br 3.38, 2 K 3.45, 5 Si 3.57-3.64
Si 0.0000 0.0000 0.6444 (multiplicity 2)  1 Br 2.41
Br 0.0000 0.0000 0.4089 (multiplicity 2)  1 Si 2.41

***

So which one is most stable? That would be iii), about 115 meV/atom below the next structure.